1.
Crystalline ZnAg4 at its relaxed geometry. Source: Alexandria, functional PBE. Values from VASP.

Properties
Energy relative to the lowest polymorph listed for this composition (eV/atom): 0.273
ΔE_f (meV/atom): 268
Total magnetization (μB/f.u.): 0.00

Quantum ESPRESSO input file:
```
&SYSTEM
  ibrav = 0, nat = 5, ntyp = 2
/
ATOMIC_SPECIES
Ag 107.87 Ag.upf
Zn 65.41 Zn.upf
ATOMIC_POSITIONS angstrom
Ag -3.126 -1.881 -1.708
Ag -1.271 -3.668 -1.077
Ag -3.980 -4.194 -0.171
Zn 0.000 0.000 0.000
Ag -5.833 -6.146 -0.251
CELL_PARAMETERS angstrom
-3.051 -6.956 0.419
-6.761 -3.384 -0.842
5.416 4.791 -2.363
```

---

2.
Crystalline Zn5Ag7 at its relaxed geometry. Source: Alexandria, functional PBE. Values from VASP.

Properties
Energy relative to the lowest polymorph listed for this composition (eV/atom): 0.037
ΔE_f (meV/atom): 17
Total magnetization (μB/f.u.): 0.00

Quantum ESPRESSO input file:
```
&SYSTEM
  ibrav = 0, nat = 12, ntyp = 2
/
ATOMIC_SPECIES
Zn 65.41 Zn.upf
Ag 107.87 Ag.upf
ATOMIC_POSITIONS angstrom
Zn 6.105 3.116 2.682
Zn 4.544 2.605 0.624
Zn 3.867 -1.554 2.214
Zn 6.781 7.274 1.092
Ag 8.972 5.605 1.026
Ag 6.288 4.659 0.393
Zn 0.000 0.000 0.000
Ag 8.521 3.782 3.335
Ag 2.127 1.939 -0.029
Ag 4.361 1.062 2.913
Ag 1.676 0.116 2.279
Ag 3.130 4.967 0.686
CELL_PARAMETERS angstrom
-0.971 1.102 2.470
4.388 -4.213 1.933
7.231 8.831 -1.098
```

---

3.
Crystalline ZnAg at its relaxed geometry. Source: Alexandria, functional PBE. Values from VASP.

Properties
ΔE_f (meV/atom): -41
Total magnetization (μB/f.u.): 0.00

Quantum ESPRESSO input file:
```
&SYSTEM
  ibrav = 0, nat = 4, ntyp = 2
/
ATOMIC_SPECIES
Ag 107.87 Ag.upf
Zn 65.41 Zn.upf
ATOMIC_POSITIONS angstrom
Ag 0.000 0.000 0.000
Ag 2.532 -0.020 1.384
Zn 1.036 2.310 1.384
Zn 3.568 2.291 0.000
CELL_PARAMETERS angstrom
5.064 -0.039 0.000
2.072 4.621 0.000
-3.568 -2.291 2.769
```

---

4.
Crystalline Zn7Ag5 at its relaxed geometry. Source: Alexandria, functional PBE. Values from VASP.

Properties
Energy relative to the lowest polymorph listed for this composition (eV/atom): 0.041
ΔE_f (meV/atom): 24
Total magnetization (μB/f.u.): 0.00

Quantum ESPRESSO input file:
```
&SYSTEM
  ibrav = 0, nat = 12, ntyp = 2
/
ATOMIC_SPECIES
Ag 107.87 Ag.upf
Zn 65.41 Zn.upf
ATOMIC_POSITIONS angstrom
Ag 7.492 4.721 4.314
Ag 2.794 -1.682 -0.291
Zn 7.043 3.112 2.089
Zn 9.920 5.582 3.402
Ag 0.000 0.000 0.000
Zn 0.366 -2.543 0.622
Zn 1.999 -4.540 0.063
Zn 3.243 -0.073 1.935
Zn 8.287 7.579 3.961
Ag 4.301 2.629 1.555
Zn 4.844 4.263 3.803
Ag 5.985 0.410 2.469
CELL_PARAMETERS angstrom
-0.339 -1.023 2.667
0.598 -5.488 -3.581
10.026 9.550 4.939
```

---

5.
Crystalline Zn4Ag at its relaxed geometry. Source: Alexandria, functional PBE. Values from VASP.

Properties
Energy relative to the lowest polymorph listed for this composition (eV/atom): 0.115
ΔE_f (meV/atom): 115
Total magnetization (μB/f.u.): 0.00

Quantum ESPRESSO input file:
```
&SYSTEM
  ibrav = 0, nat = 5, ntyp = 2
/
ATOMIC_SPECIES
Zn 65.41 Zn.upf
Ag 107.87 Ag.upf
ATOMIC_POSITIONS angstrom
Zn -1.629 1.696 2.833
Ag 0.000 0.000 0.000
Zn -2.325 -0.768 2.750
Zn -1.877 0.279 7.429
Zn -1.263 0.188 4.996
CELL_PARAMETERS angstrom
-2.266 -2.230 6.129
-0.874 2.698 6.296
-0.814 0.461 -6.841
```

---

6.
Crystalline Zn3Ag2 at its relaxed geometry. Source: Alexandria, functional PBE. Values from VASP.

Properties
Energy relative to the lowest polymorph listed for this composition (eV/atom): 0.011
ΔE_f (meV/atom): -15
Total magnetization (μB/f.u.): 0.00

Quantum ESPRESSO input file:
```
&SYSTEM
  ibrav = 0, nat = 10, ntyp = 2
/
ATOMIC_SPECIES
Zn 65.41 Zn.upf
Ag 107.87 Ag.upf
ATOMIC_POSITIONS angstrom
Zn 1.566 -1.869 -2.298
Zn 4.278 -1.428 -2.461
Zn 4.977 -5.229 -2.789
Ag 3.294 -3.771 -1.209
Zn 6.015 -3.223 -1.216
Zn 1.285 -4.728 -3.029
Ag 2.772 -6.844 -2.305
Zn 0.111 -0.044 -0.218
Ag 2.771 0.144 -0.816
Ag 3.385 -3.381 -4.146
CELL_PARAMETERS angstrom
-2.615 -2.899 -3.645
4.886 1.994 -0.825
3.827 -6.016 0.258
```

---

7.
Crystalline ZnAg at its relaxed geometry. Source: Alexandria, functional PBE. Values from VASP.

Properties
ΔE_f (meV/atom): -42
Total magnetization (μB/f.u.): 0.00

Quantum ESPRESSO input file:
```
&SYSTEM
  ibrav = 0, nat = 4, ntyp = 2
/
ATOMIC_SPECIES
Ag 107.87 Ag.upf
Zn 65.41 Zn.upf
ATOMIC_POSITIONS angstrom
Ag 1.451 1.082 1.787
Zn 0.012 3.245 0.733
Ag 0.045 3.245 3.454
Zn 1.484 1.082 4.508
CELL_PARAMETERS angstrom
2.873 0.000 0.021
0.000 4.327 0.000
-1.377 0.000 5.220
```

---

8.
Crystalline ZnAg3 at its relaxed geometry. Source: Alexandria, functional PBE. Values from VASP.

Properties
ΔE_f (meV/atom): -5
Total magnetization (μB/f.u.): 0.00

Quantum ESPRESSO input file:
```
&SYSTEM
  ibrav = 0, nat = 4, ntyp = 2
/
ATOMIC_SPECIES
Ag 107.87 Ag.upf
Zn 65.41 Zn.upf
ATOMIC_POSITIONS angstrom
Ag 1.258 -1.760 1.914
Ag 0.000 0.000 0.000
Zn -1.581 -1.253 2.067
Ag 0.297 0.832 2.750
CELL_PARAMETERS angstrom
-2.542 1.340 2.904
-0.620 -3.845 1.231
3.137 0.325 2.596
```